Below is Na2TlBr5 after structural relaxation, with properties calculated at the GGA-PBE level.

## Properties
- VASP energy (eV/cell) = -42.41
- energy relative to the elements, uncorrected (eV/atom) = -0.98
- magnetization (μB per atom) = 0.00
- energy relative to the lowest polymorph listed for this composition (eV/atom) = 0.0068

a b c (Å): 8.4694 8.4694 10.5783
angles (deg): 113.41 113.41 89.96
Element x y z (fractional)
Na 0.0000 0.0000 0.0000
Na 0.0000 0.0000 0.5000
Na 0.0000 0.5000 0.0000
Na 0.5000 0.0000 0.5000
Tl 0.3752 0.6248 0.7500
Tl 0.6248 0.3752 0.2500
Br 0.1251 0.8749 0.2500
Br 0.2303 0.7216 0.9419
Br 0.2784 0.7697 0.5581
Br 0.2840 0.2857 0.0729
Br 0.2857 0.2840 0.5729
Br 0.7143 0.7160 0.4271
Br 0.7160 0.7143 0.9271
Br 0.7216 0.2303 0.4419
Br 0.7697 0.2784 0.0581
Br 0.8749 0.1251 0.7500